BeCoPO2 after structural relaxation. Source: Alexandria via LeMat-Bulk, functional PBE with a Hubbard U.

Lattice parameters (Å, degrees): 3.204 3.204 6.144 90.00 90.00 90.00
Space group P4/mmm (No. 123)
Inequivalent atoms, fractional coordinates:
1 Be 0.000 0.000 0.000 (multiplicity 1)
2 Co 0.500 0.500 0.500 (multiplicity 1)
3 P 0.000 0.000 0.500 (multiplicity 1)
4 O 0.000 0.500 0.000 (multiplicity 2)

calculated density = 3.45 g/cm3
spin magnetization = 1.901 μB per cell
VASP energy = -25.15 eV per cell